Version P
PmNdZnCu: optimized geometry, PBE.

Computed properties:
The calculation puts the total magnetic moment at 0.0 μB per cell.

```
4
Lattice="-2.617 4.385 0.551 -4.307 0.776 -2.689 -4.551 -0.007 2.381" Properties=species:S:1:pos:R:3 pbc="T T T"
Cu -2.869 1.289 0.061
Zn -8.606 3.866 0.183
Pm 0.000 0.000 0.000
Nd -5.737 2.577 0.122
```


Version Q
PmNdZnCu: optimized geometry, PBE.

Computed properties:
The calculation puts the total magnetic moment at 0.0 μB per cell.

```
4
Lattice="-3.275 -0.633 1.442 1.521 -2.140 2.513 0.819 5.708 4.366" Properties=species:S:1:pos:R:3 pbc="T T T"
Nd 0.706 4.920 3.763
Cu -0.785 -0.747 2.467
Pm 0.287 2.002 1.531
Zn -0.383 2.056 4.611
```


version Q wins, 9 meV/atom ahead of the next structure.


Version P
Pr2NdCu: optimized geometry, PBE.

Computed properties:
The calculation puts the total magnetic moment at 0.0 μB per cell.

```
4
Lattice="-1.864 -2.651 1.917 -1.147 -3.132 -1.748 7.805 -6.445 2.373" Properties=species:S:1:pos:R:3 pbc="T T T"
Pr 6.024 -5.532 1.905
Nd 2.405 -6.118 1.273
Pr 0.774 -2.839 0.524
Cu 5.793 -10.298 2.485
```


Version Q
Pr2NdCu: optimized geometry, PBE.

Computed properties:
The calculation puts the total magnetic moment at 0.0 μB per cell.

```
4
Lattice="3.728 0.000 0.000 1.864 3.229 0.000 1.864 1.076 10.265" Properties=species:S:1:pos:R:3 pbc="T T T"
Pr 1.864 1.076 2.095
Cu 0.000 0.000 0.000
Nd 3.728 2.153 5.133
Pr 5.593 3.229 8.170
```


version Q wins, 11 meV/atom ahead of the next structure.


Version P
Pr2NdCu: optimized geometry, PBE.

Computed properties:
The calculation puts the total magnetic moment at 0.0 μB per cell.

```
16
Lattice="-3.118 3.756 4.488 -2.154 -5.851 3.400 8.505 0.204 5.739" Properties=species:S:1:pos:R:3 pbc="T T T"
Pr 4.172 -2.002 11.165
Pr 1.510 1.426 7.961
Cu 4.384 1.690 7.206
Nd 4.238 -1.289 7.528
Pr 2.318 0.188 4.660
Cu -1.152 -3.581 6.422
Nd -0.600 3.132 5.366
Pr 1.723 -3.318 5.666
Nd 3.833 -5.024 8.262
Cu 1.055 -2.017 3.095
Nd -1.005 -0.603 6.099
Pr -0.940 0.110 2.462
Cu 2.177 0.125 10.532
Pr 4.767 1.504 10.159
Pr -1.535 -3.396 3.468
Pr 0.915 -2.080 8.967
```


Version Q
Pr2NdCu: optimized geometry, PBE.

Computed properties:
The calculation puts the total magnetic moment at 0.0 μB per cell.

```
8
Lattice="-4.596 -1.940 0.766 4.383 -2.154 4.314 -1.732 5.975 4.742" Properties=species:S:1:pos:R:3 pbc="T T T"
Cu 0.402 0.243 3.067
Pr 0.563 0.947 5.841
Nd -1.101 4.185 4.001
Pr -0.202 3.585 7.935
Nd -0.843 -2.303 5.820
Pr -1.742 -1.703 1.887
Cu -2.346 1.639 6.755
Pr -2.507 0.935 3.981
```


Version R
Pr2NdCu: optimized geometry, PBE.

Computed properties:
The calculation puts the total magnetic moment at 0.0 μB per cell.

```
4
Lattice="3.667 0.000 0.000 0.000 3.667 0.000 0.000 0.000 8.867" Properties=species:S:1:pos:R:3 pbc="T T T"
Pr 0.000 0.000 1.754
Cu 1.834 1.834 0.000
Pr 0.000 0.000 7.114
Nd 1.834 1.834 4.434
```


version P wins, 10 meV/atom ahead of the next structure.